(1)
Density functional theory data (PBE-GGA) for crystalline KCdGeAu2 at its relaxed geometry.

Cell lengths 5.623, 5.764, 5.623 Å; angles 90.00, 90.00, 90.00 degrees
Each line ends with the local moment (μB).
Fractional positions:
Ge 0.000 0.500 0.000  0.39
Cd 0.500 0.500 0.500  -0.03
Au 0.500 0.000 0.000  -0.03
Au 0.000 0.000 0.500  0.00
K 0.000 0.000 0.000  0.03

## Properties
* ΔE to the lowest computed polymorph: 1226.7 meV per atom
* E: -1.477 eV/atom
* formation energy from the elements: 1160 meV per atom
* ρ: 5.6 g/cm3
* SG: P4/mmm (123)
* crystal system: tetragonal


(2)
Density functional theory data (PBE-GGA) for crystalline LaCd2GeAu2 at its relaxed geometry.

Cell lengths 5.333, 5.333, 6.819 Å; angles 113.02, 113.02, 90.00 degrees
Fractional positions:
Au 0.218 0.218 0.435
Au 0.782 0.782 0.565
Cd 0.250 0.750 0.500
Cd 0.750 0.250 0.500
Ge 0.000 0.000 0.000
La 0.500 0.500 0.000

## Properties
* E: -3.114 eV/atom
* formation energy from the elements: -126 meV per atom
* ρ: 8.5 g/cm3
* SG: I4/mmm (139)
* crystal system: tetragonal


(3)
Density functional theory data (PBE-GGA) for crystalline LaCdGeAu at its relaxed geometry.

Cell lengths 5.093, 5.093, 5.093 Å; angles 60.00, 60.00, 60.00 degrees
Fractional positions:
Ge 0.250 0.250 0.250
Cd 0.500 0.500 0.500
Au 0.750 0.750 0.750
La 0.000 0.000 0.000

## Properties
* E: -3.971 eV/atom
* formation energy from the elements: -537 meV per atom
* ρ: 9.3 g/cm3
* SG: F-43m (216)
* crystal system: cubic


(4)
Density functional theory data (PBE-GGA) for crystalline LaCd2GeAu4 at its relaxed geometry.

Cell lengths 4.688, 4.688, 9.584 Å; angles 75.84, 75.84, 60.00 degrees
Fractional positions:
Cd 0.245 0.245 0.265
Cd 0.755 0.755 0.735
Au 0.393 0.393 0.821
Au 0.131 0.131 0.608
Au 0.869 0.869 0.392
Au 0.607 0.607 0.179
Ge 0.500 0.500 0.500
La 0.000 0.000 0.000

## Properties
* E: -3.396 eV/atom
* formation energy from the elements: -335 meV per atom
* ρ: 11.6 g/cm3
* SG: R-3m (166)
* crystal system: trigonal


Q: The lowest ρ belongs to which entry?
A: KCdGeAu2


Q: Which of these has the lowest formation energy from the elements?
A: LaCdGeAu